# 1
The following is a DFT calculation (PBE-GGA) of a relaxed structure of KReRu2.

a = 2.7300 Å, b = 2.7300 Å, c = 9.6451 Å
α = 90.00°, β = 90.00°, γ = 90.00°
With the nearest neighbours (Å) after each atom.
Sites, in units of the cell vectors:
1 K 0.0000 0.0000 0.0000  4 K 2.73
2 Re 0.5000 0.5000 0.3151  4 Re 2.73, 4 Ru 2.74
3 Ru 0.0000 0.0000 0.5160  8 Ru 2.65-2.73, 4 Re 2.74
4 Ru 0.5000 0.5000 0.7036  8 Ru 2.65-2.73

- Spin magnetization: 0.0 μB/cell
- SG: P4mm, No. 99
- Relative energy among the computed polymorphs: 205 meV per atom

=====

# 2
The following is a DFT calculation (PBE-GGA) of a relaxed structure of KReRu2.

a = 2.7850 Å, b = 2.7850 Å, c = 30.8411 Å
α = 90.00°, β = 90.00°, γ = 120.00°
With the nearest neighbours (Å) after each atom.
Sites, in units of the cell vectors:
1 K 0.0000 0.0000 0.0000  6 K 2.78
2 K 0.3333 0.6667 0.6667  6 K 2.78
3 K 0.6667 0.3333 0.3333  6 K 2.78
4 Re 0.0000 0.0000 0.2330  3 Ru 2.66, 6 Re 2.78
5 Re 0.3333 0.6667 0.8996  3 Ru 2.66, 6 Re 2.78
6 Re 0.6667 0.3333 0.5663  3 Ru 2.66, 6 Re 2.78
7 Ru 0.0000 0.0000 0.4977  3 Re 2.66, 9 Ru 2.67-2.78
8 Ru 0.0000 0.0000 0.7620  9 Ru 2.67-2.78
9 Ru 0.3333 0.6667 0.1644  3 Re 2.66, 9 Ru 2.67-2.78
10 Ru 0.3333 0.6667 0.4286  9 Ru 2.67-2.78
11 Ru 0.6667 0.3333 0.0953  9 Ru 2.67-2.78
12 Ru 0.6667 0.3333 0.8311  3 Re 2.66, 9 Ru 2.67-2.78

- Spin magnetization: 0.0 μB/cell
- SG: R3m, No. 160
- Relative energy among the computed polymorphs: 105 meV per atom

=====

# 3
The following is a DFT calculation (PBE-GGA) of a relaxed structure of KReRu4.

a = 5.1853 Å, b = 5.1853 Å, c = 5.1853 Å
α = 60.00°, β = 60.00°, γ = 60.00°
With the nearest neighbours (Å) after each atom.
Sites, in units of the cell vectors:
1 K 0.0000 0.0000 0.0000  12 Ru 3.04, 4 Re 3.18
2 Re 0.7500 0.7500 0.7500  12 Ru 3.04, 4 K 3.18
3 Ru 0.3753 0.3753 0.3753  6 Ru 2.59-2.60
4 Ru 0.3753 0.3753 0.8741  6 Ru 2.59-2.60
5 Ru 0.3753 0.8741 0.3753  6 Ru 2.59-2.60
6 Ru 0.8741 0.3753 0.3753  6 Ru 2.59-2.60

- Spin magnetization: 0.0 μB/cell
- SG: F-43m, No. 216
- Electronic total energy: -7.368 eV per atom

=====

# 4
The following is a DFT calculation (PBE-GGA) of a relaxed structure of KRe3Ru.

a = 4.4108 Å, b = 4.4108 Å, c = 4.4108 Å
α = 90.00°, β = 90.00°, γ = 90.00°
With the nearest neighbours (Å) after each atom.
Sites, in units of the cell vectors:
1 K 0.0000 0.0000 0.0000  6 Re 2.21
2 Re 0.0000 0.0000 0.5000  2 K 2.21
3 Re 0.0000 0.5000 0.0000  2 K 2.21
4 Re 0.5000 0.0000 0.0000  2 K 2.21
5 Ru 0.5000 0.5000 0.5000  12 Re 3.12

- Spin magnetization: 0.0 μB/cell
- SG: Pm-3m, No. 221
- Relative energy among the computed polymorphs: 1668 meV per atom

=====

# 5
The following is a DFT calculation (PBE-GGA) of a relaxed structure of KReRu2.

a = 6.3909 Å, b = 6.3909 Å, c = 6.3909 Å
α = 90.00°, β = 90.00°, γ = 90.00°
With the nearest neighbours (Å) after each atom.
Sites, in units of the cell vectors:
1 K 0.0000 0.0000 0.0000  8 Ru 2.77
2 K 0.0000 0.5000 0.5000  8 Ru 2.77
3 K 0.5000 0.0000 0.5000  8 Ru 2.77
4 K 0.5000 0.5000 0.0000  8 Ru 2.77
5 Re 0.0000 0.0000 0.5000  8 Ru 2.77
6 Re 0.0000 0.5000 0.0000  8 Ru 2.77
7 Re 0.5000 0.0000 0.0000  8 Ru 2.77
8 Re 0.5000 0.5000 0.5000  8 Ru 2.77
9 Ru 0.2500 0.2500 0.2500  4 K 2.77, 4 Re 2.77
10 Ru 0.2500 0.2500 0.7500  4 K 2.77, 4 Re 2.77
11 Ru 0.2500 0.7500 0.2500  4 K 2.77, 4 Re 2.77
12 Ru 0.2500 0.7500 0.7500  4 K 2.77, 4 Re 2.77
13 Ru 0.7500 0.2500 0.2500  4 K 2.77, 4 Re 2.77
14 Ru 0.7500 0.2500 0.7500  4 K 2.77, 4 Re 2.77
15 Ru 0.7500 0.7500 0.2500  4 K 2.77, 4 Re 2.77
16 Ru 0.7500 0.7500 0.7500  4 K 2.77, 4 Re 2.77

- Spin magnetization: 0.0 μB/cell
- SG: Fm-3m, No. 225
- Relative energy among the computed polymorphs: 642 meV per atom

=====

# 6
The following is a DFT calculation (PBE-GGA) of a relaxed structure of KReRu2.

a = 2.7368 Å, b = 3.7824 Å, c = 7.8923 Å
α = 90.00°, β = 90.21°, γ = 90.00°
With the nearest neighbours (Å) after each atom.
Sites, in units of the cell vectors:
1 K 0.0000 0.0000 0.0000  2 K 2.74
2 Re 0.0000 0.0000 0.5000  8 Ru 2.65-2.66, 2 Re 2.74
3 Ru 0.4993 0.5000 0.3399  3 Ru 2.53-2.74, 4 Re 2.65-2.66
4 Ru 0.5007 0.5000 0.6601  3 Ru 2.53-2.74, 4 Re 2.65-2.66

- Spin magnetization: 0.0 μB/cell
- SG: P2/m, No. 10
- Relative energy among the computed polymorphs: 69 meV per atom

=====

# 7
The following is a DFT calculation (PBE-GGA) of a relaxed structure of KReRu2.

a = 2.8385 Å, b = 2.8385 Å, c = 9.1797 Å
α = 90.00°, β = 90.00°, γ = 90.00°
With the nearest neighbours (Å) after each atom.
Sites, in units of the cell vectors:
1 K 0.0000 0.0000 0.0000  4 K 2.84
2 Re 0.0000 0.0000 0.5000  8 Ru 2.65, 4 Re 2.84
3 Ru 0.5000 0.5000 0.3111  4 Re 2.65, 4 Ru 2.84
4 Ru 0.5000 0.5000 0.6889  4 Re 2.65, 4 Ru 2.84

- Spin magnetization: 0.0 μB/cell
- SG: P4/mmm, No. 123
- Relative energy among the computed polymorphs: 38 meV per atom

=====

# 8
The following is a DFT calculation (PBE-GGA) of a relaxed structure of KRe2Ru2.

a = 4.3553 Å, b = 4.3553 Å, c = 10.5350 Å
α = 90.00°, β = 90.00°, γ = 90.00°
With the nearest neighbours (Å) after each atom.
Sites, in units of the cell vectors:
1 K 0.0000 0.0000 0.0000  8 Ru 3.40, 8 Re 3.42
2 K 0.5000 0.5000 0.5000  8 Ru 3.40, 8 Re 3.42
3 Re 0.0000 0.5000 0.2500  4 Ru 2.49
4 Re 0.0000 0.5000 0.7500  4 Ru 2.49
5 Re 0.5000 0.0000 0.2500  4 Ru 2.49
6 Re 0.5000 0.0000 0.7500  4 Ru 2.49
7 Ru 0.0000 0.0000 0.3642  4 Re 2.49
8 Ru 0.0000 0.0000 0.6358  4 Re 2.49
9 Ru 0.5000 0.5000 0.1358  4 Re 2.49
10 Ru 0.5000 0.5000 0.8642  4 Re 2.49

- Spin magnetization: 0.0 μB/cell
- SG: I4/mmm, No. 139
- Electronic total energy: -8.153 eV per atom

=====

# 9
The following is a DFT calculation (PBE-GGA) of a relaxed structure of KReRu2.

a = 4.7929 Å, b = 4.7929 Å, c = 2.8763 Å
α = 90.00°, β = 90.00°, γ = 90.00°
With the nearest neighbours (Å) after each atom.
Sites, in units of the cell vectors:
1 K 0.0000 0.0000 0.0000  8 Ru 2.79, 2 K 2.88
2 Re 0.5000 0.5000 0.0000  8 Ru 2.79, 2 Re 2.88
3 Ru 0.0000 0.5000 0.5000  4 Re 2.79, 4 K 2.79, 2 Ru 2.88
4 Ru 0.5000 0.0000 0.5000  4 Re 2.79, 4 K 2.79, 2 Ru 2.88

- Spin magnetization: 0.1 μB/cell
- SG: P4/mmm, No. 123
- Relative energy among the computed polymorphs: 724 meV per atom

=====

# 10
The following is a DFT calculation (PBE-GGA) of a relaxed structure of KReRu2.

a = 2.9883 Å, b = 5.5091 Å, c = 9.5344 Å
α = 90.00°, β = 90.00°, γ = 90.00°
With the nearest neighbours (Å) after each atom.
Sites, in units of the cell vectors:
1 K 0.0000 0.0000 0.0000  2 K 2.99, 4 Re 3.13, 4 Ru 3.22
2 K 0.5000 0.5000 0.5000  2 K 2.99, 4 Re 3.13, 4 Ru 3.22
3 Re 0.0000 0.0000 0.5000  4 Ru 2.43
4 Re 0.5000 0.5000 0.0000  4 Ru 2.43
5 Ru 0.0000 0.5000 0.2011  2 Re 2.43
6 Ru 0.0000 0.5000 0.7989  2 Re 2.43
7 Ru 0.5000 0.0000 0.2989  2 Re 2.43
8 Ru 0.5000 0.0000 0.7011  2 Re 2.43

- Spin magnetization: 0.0 μB/cell
- SG: Immm, No. 71
- Relative energy among the computed polymorphs: 542 meV per atom

=====

# 11
The following is a DFT calculation (PBE-GGA) of a relaxed structure of KReRu2.

a = 7.3275 Å, b = 7.3275 Å, c = 6.2680 Å
α = 90.00°, β = 90.00°, γ = 90.00°
With the nearest neighbours (Å) after each atom.
Sites, in units of the cell vectors:
1 K 0.0000 0.0000 0.0000  8 Ru 3.07-3.26, 2 Re 3.13
2 K 0.0000 0.5000 0.2500  8 Ru 3.07-3.26, 2 Re 3.13
3 K 0.5000 0.0000 0.7500  8 Ru 3.07-3.26, 2 Re 3.13
4 K 0.5000 0.5000 0.5000  8 Ru 3.07-3.26, 2 Re 3.13
5 Re 0.0000 0.0000 0.5000  4 Ru 2.39
6 Re 0.0000 0.5000 0.7500  4 Ru 2.39
7 Re 0.5000 0.0000 0.2500  4 Ru 2.39
8 Re 0.5000 0.5000 0.0000  4 Ru 2.39
9 Ru 0.1805 0.2500 0.6250  2 Re 2.39
10 Ru 0.2500 0.6805 0.8750  2 Re 2.39
11 Ru 0.2500 0.8195 0.3750  2 Re 2.39
12 Ru 0.3195 0.2500 0.1250  2 Re 2.39
13 Ru 0.6805 0.7500 0.1250  2 Re 2.39
14 Ru 0.7500 0.1805 0.3750  2 Re 2.39
15 Ru 0.7500 0.3195 0.8750  2 Re 2.39
16 Ru 0.8195 0.7500 0.6250  2 Re 2.39

- Spin magnetization: 0.0 μB/cell
- SG: I-42d, No. 122
- Relative energy among the computed polymorphs: 619 meV per atom

=====

# 12
The following is a DFT calculation (PBE-GGA) of a relaxed structure of KReRu2.

a = 2.9038 Å, b = 4.6767 Å, c = 10.1424 Å
α = 90.00°, β = 90.00°, γ = 90.00°
With the nearest neighbours (Å) after each atom.
Sites, in units of the cell vectors:
1 K 0.0000 0.0000 0.0000  6 K 2.75-2.90
2 K 0.5000 0.5000 0.0000  6 K 2.75-2.90
3 Re 0.0000 0.0000 0.5000  4 Ru 2.61, 6 Re 2.75-2.90
4 Re 0.5000 0.5000 0.5000  4 Ru 2.61, 6 Re 2.75-2.90
5 Ru 0.0000 0.5000 0.2858  2 Re 2.61, 6 Ru 2.75-2.90
6 Ru 0.0000 0.5000 0.7142  2 Re 2.61, 6 Ru 2.75-2.90
7 Ru 0.5000 0.0000 0.2858  2 Re 2.61, 6 Ru 2.75-2.90
8 Ru 0.5000 0.0000 0.7142  2 Re 2.61, 6 Ru 2.75-2.90

- Spin magnetization: 0.0 μB/cell
- SG: Cmmm, No. 65
- Relative energy among the computed polymorphs: 172 meV per atom